GeSbSeBr2 (GGA-PBE, relaxed); size of the total moment = 0.9 μB per formula unit; calculated total energy = -2.8508 eV per atom; crystal system = tetragonal; E_form (uncorrected) = 0.263 eV per atom
1.0
5.528 0.000 0.000
0.000 5.528 0.000
0.000 0.000 5.485
Ge Br Sb Se
1 2 1 1
direct
0.500 0.500 0.500
0.500 0.000 0.000
0.000 0.500 0.000
0.000 0.000 0.000
0.000 0.000 0.500